Record 1
# MnAl, optimized geometry, DFT PBE
# ΔE_f = -0.0861 eV per atom
# SG = Pnma (62)
data_MnAl
_chemical_formula_sum 'Mn8 Al8'
_cell_length_a 8.215
_cell_length_b 4.147
_cell_length_c 5.843
_cell_angle_alpha 90.00
_cell_angle_beta 90.00
_cell_angle_gamma 90.00
_symmetry_space_group_name_H-M 'P 1'
_symmetry_Int_Tables_number 1
_symmetry_space_group_name_Hall 'P 1'
loop_
_atom_site_label
_atom_site_fract_x
_atom_site_fract_y
_atom_site_fract_z
Mn1 0.142 0.250 0.243
Mn2 0.146 0.750 0.492
Mn3 0.354 0.250 0.992
Mn4 0.358 0.750 0.743
Mn5 0.642 0.250 0.257
Mn6 0.646 0.750 0.008
Mn7 0.854 0.250 0.508
Mn8 0.858 0.750 0.757
Al1 0.118 0.250 0.718
Al2 0.118 0.750 0.990
Al3 0.382 0.250 0.490
Al4 0.382 0.750 0.218
Al5 0.618 0.250 0.782
Al6 0.618 0.750 0.510
Al7 0.882 0.250 0.010
Al8 0.882 0.750 0.282



Record 2
# KCa3Ac2Se6, optimized geometry, DFT PBE
# Uncorrected formation energy = -1.880 eV per atom
# SG = C2/m (12)
data_KCa3Ac2Se6
_chemical_formula_sum 'K1 Ca3 Ac2 Se6'
_cell_length_a 9.752
_cell_length_b 9.752
_cell_length_c 8.823
_cell_angle_alpha 103.11
_cell_angle_beta 103.11
_cell_angle_gamma 25.81
_symmetry_space_group_name_H-M 'P 1'
_symmetry_Int_Tables_number 1
_symmetry_space_group_name_Hall 'P 1'
loop_
_atom_site_label
_atom_site_fract_x
_atom_site_fract_y
_atom_site_fract_z
K1 0.000 0.000 0.000
Ca1 0.000 0.000 0.500
Ca2 0.337 0.337 0.166
Ca3 0.663 0.663 0.834
Ac1 0.337 0.337 0.672
Ac2 0.663 0.663 0.328
Se1 0.165 0.165 0.591
Se2 0.175 0.175 0.079
Se3 0.498 0.498 0.271
Se4 0.502 0.502 0.729
Se5 0.825 0.825 0.921
Se6 0.835 0.835 0.409



Record 3
# ZrInTc2, optimized geometry, DFT PBE
# Energy above the most stable polymorph in this dataset = 78 meV per atom
# ΔE_f = -0.0297 eV per atom
# SG = P4/mmm (123)
data_ZrInTc2
_chemical_formula_sum 'Zr1 In1 Tc2'
_cell_length_a 4.517
_cell_length_b 4.517
_cell_length_c 3.444
_cell_angle_alpha 90.00
_cell_angle_beta 90.00
_cell_angle_gamma 90.00
_symmetry_space_group_name_H-M 'P 1'
_symmetry_Int_Tables_number 1
_symmetry_space_group_name_Hall 'P 1'
loop_
_atom_site_label
_atom_site_fract_x
_atom_site_fract_y
_atom_site_fract_z
Zr1 0.000 0.000 0.000
In1 0.500 0.500 0.000
Tc1 0.000 0.500 0.500
Tc2 0.500 0.000 0.500



Per-record density of states at the Fermi level, states/eV per cell: 13.72, 3.01, 5.21